(1)
RbTaSN2: relaxed, PBE.

Geometry as POSCAR:
```
RbTaSN2
1.0
4.227 0.000 0.000
0.000 4.227 0.000
0.000 0.000 4.965
Rb Ta S N
1 1 1 2
Direct
0.000 0.000 0.000
0.500 0.500 0.500
0.500 0.500 0.000
0.000 0.500 0.500
0.500 0.000 0.500
```

Values from the calculation:
The total moment is 1.96 Bohr magnetons per cell. The value obtained for the calculated volume is 88.7 Å³ per cell. The value obtained for the uncorrected formation energy is -0.8 eV per formula unit. For the relative energy among the computed polymorphs, the calculation gives 0 meV/atom.



(2)
Li2GaBiP: relaxed, PBE.

Geometry as POSCAR:
```
Li2GaBiP
1.0
4.819 0.000 0.000
0.000 4.819 0.000
0.000 0.000 5.268
Li Ga Bi P
2 1 1 1
Direct
0.000 0.500 0.000
0.500 0.000 0.000
0.000 0.000 0.000
0.000 0.000 0.500
0.500 0.500 0.500
```

Values from the calculation:
The total moment is 0.00 Bohr magnetons per cell. The value obtained for the calculated volume is 122.3 Å³ per cell. The value obtained for the calculated formation energy is 0.450 eV per atom.



(3)
CdSi: relaxed, PBE.

Geometry as POSCAR:
```
CdSi
1.0
3.676 0.000 0.000
-1.823 3.307 0.000
-1.529 -0.954 7.477
Cd Si
2 2
Direct
0.036 0.249 0.354
0.964 0.751 0.646
0.370 0.191 0.060
0.630 0.809 0.940
```

Values from the calculation:
The total moment is 0.00 Bohr magnetons per cell. The value obtained for the calculated volume is 90.9 Å³ per cell. The value obtained for the uncorrected formation energy is 0.4 eV per formula unit.



(4)
AlNiRu: relaxed, PBE.

Geometry as POSCAR:
```
AlNiRu
1.0
5.629 0.000 0.000
0.000 5.629 0.000
0.000 0.000 5.629
Al Ni Ru
4 4 4
Direct
0.000 0.000 0.000
0.000 0.500 0.500
0.500 0.000 0.500
0.500 0.500 0.000
0.250 0.250 0.750
0.250 0.750 0.250
0.750 0.250 0.250
0.750 0.750 0.750
0.000 0.000 0.500
0.000 0.500 0.000
0.500 0.000 0.000
0.500 0.500 0.500
```

Values from the calculation:
The total moment is 4.44 Bohr magnetons per cell. The value obtained for the calculated volume is 178.3 Å³ per cell. The value obtained for the calculated formation energy is 0.022 eV per atom.



The lowest calculated volume belongs to which entry?
RbTaSN2